# 1
An optimized crystal structure of PrHfNi4. Source: Alexandria via LeMat-Bulk, functional GGA-PBE.

Calculated values
Calculated volume (A^3/atom): 15.21
Final energy (eV/f.u.): -39.487

abc: 5.053 5.053 5.053
angles: 60.00 60.00 60.00
Fractional positions:
Hf 0.250 0.250 0.250
Ni 0.129 0.624 0.624
Ni 0.624 0.129 0.624
Ni 0.624 0.624 0.129
Ni 0.624 0.624 0.624
Pr 0.000 0.000 0.000

=====

# 2
An optimized crystal structure of PrHfNi10. Source: Alexandria via LeMat-Bulk, functional GGA-PBE.

Calculated values
Calculated volume (A^3/atom): 13.48
Final energy (eV/f.u.): -75.821

abc: 3.968 4.840 8.422
angles: 90.00 90.00 90.00
Site moments in Bohr magnetons follow the coordinates.
Fractional positions:
Ni 0.500 0.256 0.739  0.32
Ni 0.500 0.256 0.261  0.32
Ni 0.000 0.000 0.344  0.22
Ni 0.500 0.500 0.000  0.30
Ni 0.000 0.500 0.817  0.23
Ni 0.000 0.500 0.183  0.23
Ni 0.500 0.744 0.261  0.32
Ni 0.500 0.000 0.500  0.36
Ni 0.500 0.744 0.739  0.32
Ni 0.000 0.000 0.656  0.22
Hf 0.000 0.500 0.500  -0.07
Pr 0.000 0.000 0.000  -0.05

=====

# 3
An optimized crystal structure of PrHfNi2. Source: Alexandria via LeMat-Bulk, functional GGA-PBE.

Calculated values
Calculated volume (A^3/atom): 18.80
Relative energy among the computed polymorphs (meV per atom): 0
Final energy (eV/f.u.): -27.608

abc: 3.275 3.275 7.009
angles: 90.00 90.00 90.00
Fractional positions:
Hf 0.500 0.500 0.000
Ni 0.000 0.000 0.193
Ni 0.000 0.000 0.807
Pr 0.500 0.500 0.500

=====

# 4
An optimized crystal structure of Pr2HfNiS5. Source: Alexandria via LeMat-Bulk, functional GGA-PBE.

Calculated values
Calculated volume (A^3/atom): 20.37
Final energy (eV/f.u.): -60.879
Raw formation energy (meV per atom): -1660.9

abc: 3.810 8.568 11.523
angles: 90.00 90.00 102.84
Fractional positions:
S 0.694 0.388 0.860
S 0.958 0.917 0.544
S 0.346 0.692 0.009
S 0.654 0.308 0.509
S 0.042 0.083 0.044
S 0.708 0.416 0.167
S 0.306 0.612 0.360
S 0.501 0.003 0.278
S 0.499 0.997 0.778
S 0.292 0.584 0.667
Hf 0.815 0.629 0.512
Hf 0.185 0.371 0.012
Pr 0.124 0.247 0.319
Pr 0.889 0.777 0.194
Pr 0.876 0.753 0.819
Pr 0.111 0.223 0.694
Ni 0.572 0.145 0.940
Ni 0.428 0.855 0.440

=====

# 5
An optimized crystal structure of HfNiPt. Source: Alexandria via LeMat-Bulk, functional GGA-PBE.

Calculated values
Calculated volume (A^3/atom): 15.65
Relative energy among the computed polymorphs (meV per atom): 56
Final energy (eV/f.u.): -24.034

abc: 4.397 5.280 5.280
angles: 97.87 65.40 65.40
Fractional positions:
Pt 0.253 0.247 0.247
Pt 0.747 0.753 0.753
Ni 0.500 0.354 0.646
Ni 0.500 0.646 0.354
Hf 0.000 0.807 0.193
Hf 0.000 0.193 0.807

=====

# 6
An optimized crystal structure of HfNiPt3. Source: Alexandria via LeMat-Bulk, functional GGA-PBE.

Calculated values
Calculated volume (A^3/atom): 15.58
Relative energy among the computed polymorphs (meV per atom): 0
Final energy (eV/f.u.): -37.483

abc: 4.121 5.591 9.162
angles: 129.52 103.00 90.00
Fractional positions:
Pt 0.999 0.249 0.997
Pt 0.605 0.227 0.211
Pt 0.001 0.751 0.003
Pt 0.395 0.773 0.789
Pt 0.203 0.184 0.406
Pt 0.797 0.816 0.594
Ni 0.811 0.374 0.622
Ni 0.189 0.626 0.378
Hf 0.379 0.248 0.758
Hf 0.621 0.752 0.242

=====

# 7
An optimized crystal structure of HfNi23Pt6. Source: Alexandria via LeMat-Bulk, functional GGA-PBE.

Calculated values
Calculated volume (A^3/atom): 12.42
Final energy (eV/f.u.): -180.721

abc: 8.078 8.078 8.078
angles: 60.00 60.00 60.00
Site moments in Bohr magnetons follow the coordinates.
Fractional positions:
Pt 0.264 0.736 0.736  0.18
Pt 0.736 0.736 0.264  0.18
Pt 0.264 0.736 0.264  0.18
Pt 0.736 0.264 0.264  0.18
Pt 0.736 0.264 0.736  0.18
Pt 0.264 0.264 0.736  0.18
Ni 0.341 0.978 0.341  0.67
Ni 0.375 0.875 0.875  0.61
Ni 0.659 0.022 0.659  0.67
Ni 0.978 0.341 0.341  0.67
Ni 0.341 0.341 0.978  0.67
Ni 0.500 0.500 0.000  0.64
Ni 0.000 0.000 0.500  0.64
Ni 0.659 0.659 0.022  0.67
Ni 0.000 0.000 0.000  0.72
Ni 0.875 0.375 0.875  0.61
Ni 0.875 0.875 0.875  0.61
Ni 0.659 0.659 0.659  0.67
Ni 0.022 0.659 0.659  0.67
Ni 0.000 0.500 0.000  0.64
Ni 0.000 0.500 0.500  0.64
Ni 0.125 0.125 0.125  0.61
Ni 0.875 0.875 0.375  0.61
Ni 0.125 0.125 0.625  0.61
Ni 0.125 0.625 0.125  0.61
Ni 0.625 0.125 0.125  0.61
Ni 0.341 0.341 0.341  0.67
Ni 0.500 0.000 0.500  0.64
Ni 0.500 0.000 0.000  0.64
Hf 0.500 0.500 0.500  -0.10

=====

# 8
An optimized crystal structure of HfNi2Pt. Source: Alexandria via LeMat-Bulk, functional GGA-PBE.

Calculated values
Calculated volume (A^3/atom): 15.89
Final energy (eV/f.u.): -28.539

abc: 3.782 3.782 9.283
angles: 78.25 78.25 90.00
Fractional positions:
Ni 0.097 0.625 0.250
Ni 0.375 0.347 0.750
Ni 0.653 0.125 0.250
Ni 0.875 0.903 0.750
Hf 0.500 0.500 0.000
Hf 0.250 0.750 0.500
Pt 0.750 0.250 0.500
Pt 0.000 0.000 0.000

=====

# 9
An optimized crystal structure of HfNiPt3. Source: Alexandria via LeMat-Bulk, functional GGA-PBE.

Calculated values
Calculated volume (A^3/atom): 23.23
Relative energy among the computed polymorphs (meV per atom): 1752
Final energy (eV/f.u.): -28.721

abc: 4.879 4.879 4.879
angles: 90.00 90.00 90.00
Fractional positions:
Pt 0.000 0.000 0.500
Pt 0.500 0.000 0.000
Pt 0.000 0.500 0.000
Ni 0.500 0.500 0.500
Hf 0.000 0.000 0.000

=====

# 10
An optimized crystal structure of HfNiPt. Source: Alexandria via LeMat-Bulk, functional GGA-PBE.

Calculated values
Calculated volume (A^3/atom): 17.74
Relative energy among the computed polymorphs (meV per atom): 359
Final energy (eV/f.u.): -23.126

abc: 5.500 3.863 3.528
angles: 90.00 90.00 45.25
Fractional positions:
Ni 0.000 0.000 0.500
Hf 0.500 0.500 0.000
Pt 0.000 0.500 0.000